The following is a DFT calculation (PBE-GGA) of MgRh2F after structural relaxation.

Cell: 3.4503 3.4503 11.0419 Å, 81.01 81.01 90.00°
Sites, in units of the cell vectors:
Mg1 0.0000 0.0000 0.0000
Mg2 0.7500 0.2500 0.5000
Rh1 0.6252 0.1250 0.2500
Rh2 0.1248 0.6250 0.2500
Rh3 0.3750 0.3748 0.7500
Rh4 0.8750 0.8752 0.7500
F1 0.5000 0.5000 0.0000
F2 0.2500 0.7500 0.5000

Summary:
Energy above the most stable polymorph in this dataset ... 0 meV/atom
Raw formation energy ... -0.4915 eV/atom